DFT (meta-GGA SCAN) results for a crystal of Ba2CrPSe relaxed with PBEsol.

POSCAR file:
```
Ba2CrPSe
1.0
-0.059 3.779 -2.312
-3.806 2.392 4.008
4.667 2.039 3.215
Cr P Ba Se
1 1 2 1
Direct
0.000 0.000 0.000 Cr
0.500 0.500 0.500 P
0.000 0.000 0.500 Ba
0.000 0.500 0.000 Ba
0.500 0.000 0.000 Se
```

ΔE_f (raw) = -322 meV per atom
Total DFT energy (no corrections) = -25.9143 eV/atom